*a*
First-principles (PBE) data for crystalline CsGaF2 at its relaxed geometry, as listed in Alexandria.

Magnetic moment (μB per formula unit): 0.00

a b c (Å): 4.4310 4.4310 22.4912
angles (deg): 90.00 90.00 120.00
With the nearest neighbours (Å) after each atom.
Space group R-3m (No. 166, hexagonal axes)
Symmetry-distinct sites (fractional):
Cs 0.0000 0.0000 0.0000 x3  6 F 3.04
Ga 0.0000 0.0000 0.5000 x3  2 F 2.10
F 0.0000 0.0000 0.4065 x6  1 Ga 2.10

***

*b*
First-principles (PBE) data for crystalline CsGaF2 at its relaxed geometry, as listed in Alexandria.

Magnetic moment (μB per formula unit): 0.00

a b c (Å): 6.1028 6.1028 12.2909
angles (deg): 90.00 90.00 90.00
With the nearest neighbours (Å) after each atom.
Space group I-42d (No. 122)
Symmetry-distinct sites (fractional):
Cs 0.0000 0.0000 0.0000 x4  4 F 2.91
Ga 0.0000 0.0000 0.5000 x4  4 F 2.43
F 0.1808 0.2500 0.6250 x8  2 Ga 2.43

***

*c*
First-principles (PBE) data for crystalline CsGaF2 at its relaxed geometry, as listed in Alexandria.

Magnetic moment (μB per formula unit): 0.00

a b c (Å): 6.9453 6.9453 6.9453
angles (deg): 90.00 90.00 90.00
With the nearest neighbours (Å) after each atom.
Space group Fm-3m (No. 225)
Symmetry-distinct sites (fractional):
Cs 0.0000 0.0000 0.0000 x4  8 F 3.01
Ga 0.0000 0.0000 0.5000 x4  8 F 3.01
F 0.2500 0.2500 0.2500 x8  4 Cs 3.01, 4 Ga 3.01

***

Relative energies, eV/atom: *a* 0.006; *b* 0.000; *c* 0.168.

***

*a*
First-principles (PBE) data for crystalline Cs2TiGaF6 at its relaxed geometry, as listed in Alexandria.

Magnetic moment (μB per formula unit): 1.00

a b c (Å): 6.6663 6.6663 31.6169
angles (deg): 90.00 90.00 120.00
With the nearest neighbours (Å) after each atom.
Space group R-3m (No. 166, hexagonal axes)
Symmetry-distinct sites (fractional):
Cs 0.0000 0.0000 0.1291 x6  12 F 3.14-3.34
Cs 0.0000 0.0000 0.2782 x6  9 F 3.25-3.40
Ti 0.0000 0.0000 0.0000 x3  6 F 1.98
Ti 0.0000 0.0000 0.5000 x3  6 F 2.02
Ga 0.0000 0.0000 0.4031 x6  6 F 2.47-2.60
F 0.0399 0.5200 0.1320 x18  1 Ti 2.02
F 0.0559 0.5280 0.7037 x18  1 Ti 1.98

***

*b*
First-principles (PBE) data for crystalline Cs2TiGaF6 at its relaxed geometry, as listed in Alexandria.

Magnetic moment (μB per formula unit): 1.00

a b c (Å): 6.4953 6.4953 9.1873
angles (deg): 90.00 90.00 90.00
With the nearest neighbours (Å) after each atom.
Space group I4/mmm (No. 139)
Symmetry-distinct sites (fractional):
Cs 0.0000 0.5000 0.2500 x4  12 F 3.26
Ti 0.0000 0.0000 0.0000 x2  6 F 1.99-2.04
Ga 0.0000 0.0000 0.5000 x2  6 F 2.56-2.60
F 0.0000 0.0000 0.2215 x4  1 Ti 2.04
F 0.2167 0.2167 0.0000 x8  1 Ti 1.99

***

Relative energies, eV/atom: *a* 0.011; *b* 0.000.